[1]
DFT (PBE) results for a relaxed structure of RbSr2W.

```
data_RbSr2W
_cell_length_a 8.870
_cell_length_b 8.870
_cell_length_c 12.612
_cell_angle_alpha 90.00
_cell_angle_beta 90.00
_cell_angle_gamma 90.00
_space_group_name_H-M_alt 'I -4 2 d'
_space_group_IT_number 122
_space_group_name_Hall 'I -4 2bw'
loop_
_atom_site_label
_atom_site_type_symbol
_atom_site_fract_x
_atom_site_fract_y
_atom_site_fract_z
Rb1 Rb 0.000 0.000 0.000
Sr1 Sr 0.003 0.750 0.625
W1 W 0.000 0.000 0.500
```

## Properties
Energy (eV/cell): -41.7
Energy above the lowest structure with this stoichiometry (meV/atom): 448
Density of states at the Fermi level (states/eV/f.u.): 6.04
Magnetization (μB per formula unit): 1.7

---

[2]
DFT (PBE) results for a relaxed structure of Ta2ZnOs.

```
data_Ta2ZnOs
_cell_length_a 3.234
_cell_length_b 4.614
_cell_length_c 8.835
_cell_angle_alpha 90.00
_cell_angle_beta 90.00
_cell_angle_gamma 90.00
_space_group_name_H-M_alt 'C m m 2'
_space_group_IT_number 35
_space_group_name_Hall 'C 2 -2'
loop_
_atom_site_label
_atom_site_type_symbol
_atom_site_fract_x
_atom_site_fract_y
_atom_site_fract_z
Ta1 Ta 0.000 0.000 0.000
Ta2 Ta 0.000 0.500 0.264
Zn1 Zn 0.000 0.500 0.742
Os1 Os 0.000 0.000 0.502
```

## Properties
Energy (eV/cell): -71.8
Density of states at the Fermi level (states/eV/f.u.): 2.52
Magnetization (μB per formula unit): 0.0

---

Q: Which formula does entry 1 have?
A: RbSr2W

---

Q: Number 2 is which compound?
A: Ta2ZnOs

---

Q: Which value of magnetization does entry 1 give?
A: 1.7 μB per formula unit